(1)
{"formula": "TaRe2Ag", "functional": "PBE", "state": "optimized geometry", "relative_energy_kj_per_mol_atoms": 27.9, "spacegroup": "Fm-3m", "e_form_mev_per_atom": 522.8, "m_tot_mub_per_cell": 0.00, "lattice": [[1.0797, 2.3007, 3.7337], [-1.9989, -0.9985, 3.9252], [2.3570, -2.0085, 3.2879]], "species": ["Re", "Re", "Ag", "Ta"], "frac_coords": [[0.2500, 0.2500, 0.2500], [0.7500, 0.7500, 0.7500], [0.0000, 0.0000, 0.0000], [0.5000, 0.5000, 0.5000]]}

(2)
{"formula": "Mg2MnCr", "functional": "PBE", "state": "optimized geometry", "relative_energy_kj_per_mol_atoms": 78.9, "spacegroup": "I-42d", "e_form_mev_per_atom": 980.2, "m_tot_mub_per_cell": 8.41, "lattice": [[-4.1850, -5.5859, 1.8229], [1.0093, -2.8882, -6.5330], [0.5440, -5.5389, -1.4501]], "species": ["Cr", "Cr", "Mg", "Mg", "Mg", "Mg", "Mn", "Mn"], "frac_coords": [[0.5000, 0.5000, 0.0000], [0.2500, 0.7500, 0.5000], [0.6268, 0.1250, 0.2500], [0.1232, 0.6250, 0.2500], [0.3750, 0.3732, 0.7500], [0.8750, 0.8768, 0.7500], [0.0000, 0.0000, 0.0000], [0.7500, 0.2500, 0.5000]]}

(3)
{"formula": "YCdIn2Ni", "functional": "PBE", "state": "optimized geometry", "spacegroup": "P4/mmm", "e_form_mev_per_atom": -169.1, "m_tot_mub_per_cell": 0.00, "lattice": [[4.9491, 0.0000, 0.0000], [0.0000, 4.9491, 0.0000], [0.0000, 0.0000, 5.1190]], "species": ["Y", "Ni", "Cd", "In", "In"], "frac_coords": [[0.0000, 0.0000, 0.5000], [0.0000, 0.0000, 0.0000], [0.5000, 0.5000, 0.5000], [0.0000, 0.5000, 0.0000], [0.5000, 0.0000, 0.0000]]}

(4)
{"formula": "SrNb2Re", "functional": "PBE", "state": "optimized geometry", "relative_energy_kj_per_mol_atoms": 0.0, "spacegroup": "Fm-3m", "e_form_mev_per_atom": 766.2, "m_tot_mub_per_cell": 0.00, "lattice": [[0.0000, 3.3878, 3.3878], [3.3878, 0.0000, 3.3878], [3.3878, 3.3878, 0.0000]], "species": ["Re", "Nb", "Nb", "Sr"], "frac_coords": [[0.5000, 0.5000, 0.5000], [0.2500, 0.2500, 0.2500], [0.7500, 0.7500, 0.7500], [0.0000, 0.0000, 0.0000]]}